1.
# BaPm4

A geometry-optimized BaPm4 structure (GGA-PBE, Alexandria).

abc: 5.8518 5.8518 5.8518
angles: 90.00 90.00 90.00
With the nearest neighbours (Å) after each atom.
Positions (direct):
1 Ba 0.0000 0.0000 0.0000  6 Pm 2.93
2 Pm 0.0000 0.0000 0.5000  2 Ba 2.93
3 Pm 0.0000 0.5000 0.0000  2 Ba 2.93
4 Pm 0.5000 0.0000 0.0000  2 Ba 2.93
5 Pm 0.5000 0.5000 0.5000  12 Pm 4.14

Summary:
SG: Pm-3m
Energy of formation: 0.83 eV/atom
V: 200.39 Å³ per cell
N(E_F): 8.4 states/eV/cell
Total magnetic moment: 0.01 μB per formula unit



2.
# BaPm2

A geometry-optimized BaPm2 structure (GGA-PBE, Alexandria).

abc: 8.8703 8.8703 8.8703
angles: 155.16 155.16 35.42
With the nearest neighbours (Å) after each atom.
Positions (direct):
1 Ba 0.0000 0.0000 0.0000  4 Ba 3.82, 8 Pm 4.08
2 Pm 0.3187 0.3187 0.0000  8 Pm 3.56-3.82
3 Pm 0.6813 0.6813 0.0000  8 Pm 3.56-3.82

Summary:
SG: I4/mmm
Energy of formation: 0.14 eV/atom
V: 123.06 Å³ per cell
N(E_F): 4.6 states/eV/cell
Total magnetic moment: 0.00 μB per formula unit